Material: RbBaH
Method: DFT, PBE
State: optimized geometry

Structure (extended XYZ):
```
6
Lattice="4.530 0.001 -0.002 -0.071 8.059 0.001 -2.148 -1.006 7.756" Properties=species:S:1:pos:R:3 pbc="T T T"
Ba 0.557 4.023 0.455
Ba 2.828 0.573 0.397
H 0.562 1.530 1.121
H 2.822 3.054 1.494
Rb 0.601 1.750 3.975
Rb 2.831 5.715 4.176
```

Summary:
The space-group type is No. 1. For the raw total energy, the calculation gives -2.2148 eV per atom.